No. 1
Here is a relaxed PrAs2Pd2Pt crystal from Alexandria via LeMat-Bulk. Energies are from GGA-PBE.

Output
Calculated density: 7.60 g cm⁻³
Energy of formation: -0.27 eV per atom
Raw total energy: -32.1 eV/cell
SG: I4/mmm

abc: 9.377 9.377 9.377
angles: 154.50 154.50 36.37
Atoms (fractional coordinates):
Pr 0.000 0.000 0.000
As 0.173 0.173 0.000
As 0.827 0.827 0.000
Pd 0.250 0.750 0.500
Pd 0.750 0.250 0.500
Pt 0.500 0.500 0.000

***

No. 2
Here is a relaxed Y2TcPt crystal from Alexandria via LeMat-Bulk. Energies are from GGA-PBE.

Output
Calculated density: 8.70 g cm⁻³
Energy of formation: -0.20 eV per atom
Raw total energy: -30.1 eV/cell
SG: R-3m

abc: 8.354 8.354 8.354
angles: 24.75 24.75 24.75
Atoms (fractional coordinates):
Y 0.249 0.249 0.249
Y 0.751 0.751 0.751
Tc 0.000 0.000 0.000
Pt 0.500 0.500 0.500

***

No. 3
Here is a relaxed K3BaTa crystal from Alexandria via LeMat-Bulk. Energies are from GGA-PBE.

Output
Calculated density: 2.11 g cm⁻³
Energy of formation: 1.91 eV per atom
Raw total energy: -7.5 eV/cell
Distance to the lowest polymorph of the same formula: 613 meV per atom
SG: Pm-3m

abc: 6.996 6.996 6.996
angles: 90.00 90.00 90.00
Atoms (fractional coordinates):
K 0.000 0.000 0.500
K 0.000 0.500 0.000
K 0.500 0.000 0.000
Ba 0.000 0.000 0.000
Ta 0.500 0.500 0.500

***

No. 4
Here is a relaxed PmTm2PbC crystal from Alexandria via LeMat-Bulk. Energies are from GGA-PBE.

Output
Calculated density: 9.74 g cm⁻³
Energy of formation: -0.51 eV per atom
Raw total energy: -29.2 eV/cell
SG: P4/mmm

abc: 4.849 4.849 5.092
angles: 90.00 90.00 90.00
Atoms (fractional coordinates):
Pm 0.000 0.000 0.000
Tm 0.000 0.500 0.500
Tm 0.500 0.000 0.500
Pb 0.500 0.500 0.000
C 0.000 0.000 0.500

***

No. 5
Here is a relaxed FeSb crystal from Alexandria via LeMat-Bulk. Energies are from GGA-PBE.

Output
Calculated density: 8.11 g cm⁻³
ΔE_f (raw): 46.8 kJ/mol of atoms
Raw total energy: -23.2 eV/cell
SG: I4_1/amd

abc: 5.647 5.647 5.647
angles: 140.34 140.34 57.34
Atoms (fractional coordinates):
Fe 0.375 0.625 0.750
Fe 0.625 0.375 0.250
Sb 0.125 0.875 0.250
Sb 0.875 0.125 0.750

***

No. 6
Here is a relaxed KUPaO6 crystal from Alexandria via LeMat-Bulk. Energies are from GGA-PBE.

Output
Calculated density: 5.53 g cm⁻³
ΔE_f (raw): -300.2 kJ/mol of atoms
Raw total energy: -159.3 eV/cell
SG: Imma

abc: 8.016 8.016 8.016
angles: 120.55 119.84 89.67
Atoms (fractional coordinates):
K 0.325 0.075 0.250
K 0.675 0.925 0.750
U 0.000 0.500 0.500
U 0.500 0.500 0.000
Pa 0.000 0.000 0.500
Pa 0.000 0.500 0.000
O 0.064 0.434 0.256
O 0.064 0.808 0.631
O 0.073 0.823 0.250
O 0.308 0.558 0.750
O 0.322 0.192 0.756
O 0.322 0.566 0.131
O 0.678 0.434 0.869
O 0.678 0.808 0.244
O 0.692 0.442 0.250
O 0.927 0.177 0.750
O 0.936 0.192 0.369
O 0.936 0.566 0.744

***

Question: Which formula does entry 3 have?
Answer: K3BaTa